(1)
# TlNiI2Br

Crystalline TlNiI2Br at its relaxed geometry (PBE, the Alexandria database).

## Properties
The density of states at the Fermi level is 1.271 states/eV per atom. The energy relative to the elements, uncorrected comes out at 0.1858 eV per atom. As for the relative energy among the computed polymorphs: 471.0 meV/atom. The calculation puts the magnetic moment at 1.03 μB/cell. Its density is 5.088 g/cm3.

a = 6.6596 Å, b = 6.6596 Å, c = 4.3916 Å
α = 90.00°, β = 90.00°, γ = 90.00°
With the nearest neighbours (Å) after each atom.
Space group P4/mmm (No. 123)
Symmetry-distinct sites (fractional):
Tl (0.0000, 0.0000, 0.0000)  8 I 3.99, 2 Tl 4.39
Ni (0.5000, 0.5000, 0.0000)  2 Br 2.20
I (0.0000, 0.5000, 0.5000)  2 Br 3.33
Br (0.5000, 0.5000, 0.5000)  2 Ni 2.20

---

(2)
# Ir2Rh7

Crystalline Ir2Rh7 at its relaxed geometry (PBE, the Alexandria database).

## Properties
The formation energy is -12.1 meV per atom. The density of states at the Fermi level is 1.058 states/eV per atom. The calculation puts the magnetic moment at 0.00 μB/cell. Its density is 14.321 g/cm3.

a = 4.7088 Å, b = 4.7088 Å, c = 6.6710 Å
α = 90.00°, β = 90.00°, γ = 120.00°
With the nearest neighbours (Å) after each atom.
Space group P-31m (No. 162)
Symmetry-distinct sites (fractional):
Ir (0.3333, 0.6667, 0.0000)  9 Rh 2.71-2.72, 3 Ir 2.72
Rh (0.0000, 0.0000, 0.0000)  6 Ir 2.72, 6 Rh 2.72
Rh (0.0000, 0.3350, 0.6677)  10 Rh 2.71-2.74, 2 Ir 2.71

---

(3)
# Pm4Al2ZnHg

Crystalline Pm4Al2ZnHg at its relaxed geometry (PBE, the Alexandria database).

## Properties
The formation energy is -366.4 meV per atom. The density of states at the Fermi level is 1.119 states/eV per atom. The calculation puts the magnetic moment at 0.00 μB/cell. Its density is 7.166 g/cm3.

a = 5.2821 Å, b = 5.2821 Å, c = 25.8928 Å
α = 90.00°, β = 90.00°, γ = 120.00°
With the nearest neighbours (Å) after each atom.
Space group R-3m (No. 166, hexagonal axes)
Symmetry-distinct sites (fractional):
Pm (0.0000, 0.0000, 0.1219)  1 Zn 3.16, 4 Al 3.21-3.31, 3 Hg 3.26
Pm (0.0000, 0.0000, 0.3720)  4 Al 3.17-3.26, 3 Zn 3.21, 1 Hg 3.31
Al (0.0000, 0.0000, 0.2497)  8 Pm 3.17-3.31
Zn (0.0000, 0.0000, 0.0000)  8 Pm 3.16-3.21
Hg (0.0000, 0.0000, 0.5000)  8 Pm 3.26-3.31

---

(4)
# LiSb2Rh

Crystalline LiSb2Rh at its relaxed geometry (PBE, the Alexandria database).

## Properties
The density of states at the Fermi level is 0.414 states/eV per atom. The energy relative to the elements, uncorrected comes out at -0.2076 eV per atom. As for the relative energy among the computed polymorphs: 143.5 meV/atom. The calculation puts the magnetic moment at 0.00 μB/cell. Its density is 7.632 g/cm3.

a = 4.0360 Å, b = 4.0360 Å, c = 9.4394 Å
α = 90.00°, β = 90.00°, γ = 90.00°
With the nearest neighbours (Å) after each atom.
Space group I-4m2 (No. 119)
Symmetry-distinct sites (fractional):
Li (0.0000, 0.0000, 0.0000)  8 Sb 2.85-3.11, 4 Rh 3.11
Sb (0.0000, 0.0000, 0.5000)  4 Li 2.85, 4 Sb 3.11, 4 Rh 3.11
Sb (0.0000, 0.5000, 0.2500)  4 Rh 2.85, 4 Li 3.11, 4 Sb 3.11
Rh (0.0000, 0.5000, 0.7500)  8 Sb 2.85-3.11, 4 Li 3.11